Material: Hg2Te3
Method: DFT, PBE-GGA
State: optimized geometry

abc: 7.2628 7.2628 8.7479
angles: 65.47 65.47 60.00
Last column: nearest neighbours and their distance in Å.
Atoms (fractional coordinates):
Te1 0.9962 0.7500 0.7500  2 Hg 2.94, 2 Te 3.10
Te2 0.7500 0.5038 0.7500  2 Hg 2.94, 2 Te 3.10
Te3 0.5038 0.9962 0.7500  2 Hg 2.94, 2 Te 3.10
Te4 0.2500 0.4962 0.2500  2 Hg 2.94, 2 Te 3.10
Te5 0.4962 0.0038 0.2500  2 Hg 2.94, 2 Te 3.10
Te6 0.0038 0.2500 0.2500  2 Hg 2.94, 2 Te 3.10
Hg1 0.8773 0.8773 0.3681  3 Te 2.94
Hg2 0.3773 0.3773 0.8681  3 Te 2.94
Hg3 0.1227 0.1227 0.6319  3 Te 2.94
Hg4 0.6227 0.6227 0.1319  3 Te 2.94

## Properties
As for the magnetic moment: 0.0 μB/f.u. The value obtained for the formation energy without anion corrections is 0.1229 eV per atom. As for the excess energy over the best structure of this formula in the dataset: 65 meV/atom.